# ReGeO2, relaxed, DFT PBE-GGA
data_ReGeO2
_space_group_name_H-M_alt 'P 1'
_space_group_IT_number 1
_space_group_name_Hall 'P 1'
_cell_length_a 7.365
_cell_length_b 7.365
_cell_length_c 7.365
_cell_angle_alpha 21.95
_cell_angle_beta 21.95
_cell_angle_gamma 21.95
loop_
_atom_site_label
_atom_site_type_symbol
_atom_site_fract_x
_atom_site_fract_y
_atom_site_fract_z
_atom_site_occupancy
Re1 Re 0.500 0.500 0.500 1
Ge1 Ge 0.000 0.000 0.000 1
O1 O 0.103 0.103 0.103 1
O2 O 0.897 0.897 0.897 1
# total magnetization = 0.000 μB per cell
# calculated volume = 12.23 Å³/atom
# total energy = -30.09 eV/cell
# symmetry = R-3m (166)
# formation energy from raw total energies = -778 meV/atom